Below is LaCo2Sb after structural relaxation, with properties calculated at the PBE level.

Lattice parameters (Å, degrees): 7.3737 4.5688 3.5415 90.08 61.18 128.32
Last column: magnetic moment on the atom in μB.
Fractional coordinates of all 4 atoms:
Sb1 0.5000 0.5000 0.0000  0.02
La1 0.0000 0.5000 0.5000  -0.12
Co1 0.5000 0.0000 0.5000  0.79
Co2 0.0000 0.0000 0.0000  0.79

Computed properties:
Total moment = 0.337 μB per atom
Crystal system = monoclinic
Energy relative to the elements, uncorrected = -0.0190 eV per atom
Mass density = 8.50 g cm⁻³
Space-group type = C2/m, No. 12
DOS at the Fermi energy = 2.90 states/eV per cell

=====

Below is La2CoSb2 after structural relaxation, with properties calculated at the PBE level.

Lattice parameters (Å, degrees): 7.0073 7.0073 5.2133 90.00 90.00 90.00
Fractional coordinates of all 10 atoms:
Co1 0.5000 0.5000 0.0000
Co2 0.0000 0.0000 0.0000
La1 0.8295 0.3295 0.5000
La2 0.1705 0.6705 0.5000
La3 0.3295 0.1705 0.5000
La4 0.6705 0.8295 0.5000
Sb1 0.1512 0.3488 0.0000
Sb2 0.8488 0.6512 0.0000
Sb3 0.3488 0.8488 0.0000
Sb4 0.6512 0.1512 0.0000

Computed properties:
Total moment = 0.000 μB per atom
Crystal system = tetragonal
Energy relative to the elements, uncorrected = -0.5758 eV per atom
Mass density = 7.53 g cm⁻³
Space-group type = P4/mbm, No. 127
DOS at the Fermi energy = 12.45 states/eV per cell

=====

Below is La3CoSb after structural relaxation, with properties calculated at the PBE level.

Lattice parameters (Å, degrees): 4.6638 8.4635 15.0235 90.00 90.00 90.00
Fractional coordinates of all 20 atoms:
Sb1 0.2500 0.5798 0.3210
Sb2 0.2500 0.0798 0.1790
Sb3 0.7500 0.9202 0.8210
Sb4 0.7500 0.4202 0.6790
La1 0.2500 0.2060 0.7922
La2 0.2500 0.9632 0.4025
La3 0.2500 0.3544 0.5066
La4 0.7500 0.6456 0.4934
La5 0.7500 0.0368 0.5975
La6 0.7500 0.5368 0.9025
La7 0.2500 0.4632 0.0975
La8 0.7500 0.7940 0.2078
La9 0.7500 0.2940 0.2922
La10 0.2500 0.7060 0.7078
La11 0.7500 0.1456 0.0066
La12 0.2500 0.8544 0.9934
Co1 0.7500 0.6736 0.0625
Co2 0.2500 0.3264 0.9375
Co3 0.2500 0.8264 0.5625
Co4 0.7500 0.1736 0.4375

Computed properties:
Total moment = 0.000 μB per atom
Crystal system = orthorhombic
Energy relative to the elements, uncorrected = -0.6335 eV per atom
Mass density = 6.69 g cm⁻³
Energy above the lowest structure with this stoichiometry = 0.000 eV/atom
Space-group type = Pnma, No. 62
DOS at the Fermi energy = 15.69 states/eV per cell

=====

Below is LaCoSb3 after structural relaxation, with properties calculated at the PBE level.

Lattice parameters (Å, degrees): 5.0599 5.0599 5.0599 90.00 90.00 90.00
Last column: magnetic moment on the atom in μB.
Fractional coordinates of all 5 atoms:
Co1 0.0000 0.0000 0.0000  0.38
Sb1 0.0000 0.5000 0.0000  0.00
Sb2 0.5000 0.0000 0.0000  0.01
Sb3 0.0000 0.0000 0.5000  0.01
La1 0.5000 0.5000 0.5000  0.01

Computed properties:
Total moment = 0.088 μB per atom
Crystal system = cubic
Energy relative to the elements, uncorrected = -0.2159 eV per atom
Mass density = 7.22 g cm⁻³
Space-group type = Pm-3m, No. 221
DOS at the Fermi energy = 5.70 states/eV per cell

=====

Below is LaCoSb3 after structural relaxation, with properties calculated at the PBE level.

Lattice parameters (Å, degrees): 6.1919 12.2200 13.0537 90.00 90.00 90.00
Fractional coordinates of all 40 atoms:
Sb1 0.2500 0.0000 0.2131
Sb2 0.7500 0.0000 0.0275
Sb3 0.5130 0.6240 0.5021
Sb4 0.9870 0.3760 0.5021
Sb5 0.7500 0.5000 0.7869
Sb6 0.0130 0.6240 0.4979
Sb7 0.3859 0.7500 0.0549
Sb8 0.7312 0.2500 0.2075
Sb9 0.7500 0.0000 0.7869
Sb10 0.2688 0.7500 0.7925
Sb11 0.2500 0.5000 0.9725
Sb12 0.1141 0.2500 0.0549
Sb13 0.7500 0.5000 0.0275
Sb14 0.5130 0.8760 0.5021
Sb15 0.7688 0.7500 0.2075
Sb16 0.8859 0.7500 0.9451
Sb17 0.6141 0.2500 0.9451
Sb18 0.2500 0.5000 0.2131
Sb19 0.2500 0.0000 0.9725
Sb20 0.4870 0.3760 0.4979
Sb21 0.9870 0.1240 0.5021
Sb22 0.4870 0.1240 0.4979
Sb23 0.0130 0.8760 0.4979
Sb24 0.2312 0.2500 0.7925
La1 0.2259 0.2500 0.3025
La2 0.7741 0.7500 0.6975
La3 0.2741 0.7500 0.3025
La4 0.7500 0.5000 0.2991
La5 0.2500 0.5000 0.7009
La6 0.7259 0.2500 0.6975
La7 0.7500 0.0000 0.2991
La8 0.2500 0.0000 0.7009
Co1 0.4612 0.1359 0.0951
Co2 0.0388 0.6359 0.0951
Co3 0.9612 0.1359 0.9049
Co4 0.5388 0.8641 0.9049
Co5 0.4612 0.3641 0.0951
Co6 0.9612 0.3641 0.9049
Co7 0.0388 0.8641 0.0951
Co8 0.5388 0.6359 0.9049

Computed properties:
Total moment = 0.000 μB per atom
Crystal system = orthorhombic
Energy relative to the elements, uncorrected = -0.6130 eV per atom
Mass density = 7.57 g cm⁻³
Space-group type = Pbcm, No. 57
DOS at the Fermi energy = 20.92 states/eV per cell

=====

Below is LaCoSb2Se after structural relaxation, with properties calculated at the PBE level.

Lattice parameters (Å, degrees): 6.1536 4.5386 6.1536 90.00 90.00 90.00
Last column: magnetic moment on the atom in μB.
Fractional coordinates of all 5 atoms:
Co1 0.0000 0.5000 0.0000  0.60
Sb1 0.0000 0.0000 0.5000  0.03
Sb2 0.5000 0.0000 0.0000  0.02
Se1 0.5000 0.5000 0.5000  -0.05
La1 0.0000 0.0000 0.0000  -0.04

Computed properties:
Total moment = 0.117 μB per atom
Crystal system = tetragonal
Energy relative to the elements, uncorrected = 1.0689 eV per atom
Mass density = 5.03 g cm⁻³
Space-group type = P4/mmm, No. 123
DOS at the Fermi energy = 5.66 states/eV per cell

=====

Below is La2CoSnSb after structural relaxation, with properties calculated at the PBE level.

Lattice parameters (Å, degrees): 5.3527 5.3527 4.8261 90.00 90.00 90.00
Fractional coordinates of all 5 atoms:
Sn1 0.0000 0.0000 0.5000
La1 0.0000 0.5000 0.0000
La2 0.5000 0.0000 0.0000
Sb1 0.5000 0.5000 0.5000
Co1 0.0000 0.0000 0.0000

Computed properties:
Total moment = 0.000 μB per atom
Crystal system = tetragonal
Energy relative to the elements, uncorrected = -0.6566 eV per atom
Mass density = 6.93 g cm⁻³
Space-group type = P4/mmm, No. 123
DOS at the Fermi energy = 3.16 states/eV per cell

=====

Below is LaCoTcSb2 after structural relaxation, with properties calculated at the PBE level.

Lattice parameters (Å, degrees): 5.0071 4.5944 5.0071 90.00 90.00 90.00
Last column: magnetic moment on the atom in μB.
Fractional coordinates of all 5 atoms:
Tc1 0.0000 0.5000 0.0000  0.81
Sb1 0.0000 0.0000 0.5000  -0.01
Sb2 0.5000 0.0000 0.0000  0.00
La1 0.5000 0.5000 0.5000  -0.01
Co1 0.0000 0.0000 0.0000  0.01

Computed properties:
Total moment = 0.188 μB per atom
Crystal system = tetragonal
Energy relative to the elements, uncorrected = 0.2041 eV per atom
Mass density = 7.78 g cm⁻³
Space-group type = P4/mmm, No. 123
DOS at the Fermi energy = 6.34 states/eV per cell

=====

Below is LaCoSbTe2 after structural relaxation, with properties calculated at the PBE level.

Lattice parameters (Å, degrees): 6.0838 6.0838 6.1757 90.00 90.00 90.00
Last column: magnetic moment on the atom in μB.
Fractional coordinates of all 5 atoms:
La1 0.0000 0.0000 0.0000  -0.02
Te1 0.5000 0.0000 0.0000  -0.02
Te2 0.0000 0.5000 0.0000  -0.02
Co1 0.5000 0.5000 0.5000  2.39
Sb1 0.0000 0.0000 0.5000  -0.21

Computed properties:
Total moment = 0.410 μB per atom
Crystal system = tetragonal
Energy relative to the elements, uncorrected = 0.8111 eV per atom
Mass density = 4.18 g cm⁻³
Energy above the lowest structure with this stoichiometry = 1.250 eV/atom
Space-group type = P4/mmm, No. 123
DOS at the Fermi energy = 10.33 states/eV per cell

=====

Below is LaCoSbTe2 after structural relaxation, with properties calculated at the PBE level.

Lattice parameters (Å, degrees): 5.3451 5.3451 4.6995 90.00 90.00 90.00
Fractional coordinates of all 5 atoms:
La1 0.5000 0.5000 0.5000
Sb1 0.0000 0.0000 0.5000
Te1 0.0000 0.5000 0.0000
Te2 0.5000 0.0000 0.0000
Co1 0.0000 0.0000 0.0000

Computed properties:
Total moment = 0.000 μB per atom
Crystal system = tetragonal
Energy relative to the elements, uncorrected = -0.4388 eV per atom
Mass density = 7.11 g cm⁻³
Energy above the lowest structure with this stoichiometry = 0.000 eV/atom
Space-group type = P4/mmm, No. 123
DOS at the Fermi energy = 2.66 states/eV per cell

=====

Below is LaTi2CoSb after structural relaxation, with properties calculated at the PBE level.

Lattice parameters (Å, degrees): 4.6839 5.1983 4.6839 90.00 90.00 90.00
Last column: magnetic moment on the atom in μB.
Fractional coordinates of all 5 atoms:
Ti1 0.0000 0.0000 0.5000  0.37
Ti2 0.5000 0.0000 0.0000  0.65
Co1 0.0000 0.0000 0.0000  -0.12
La1 0.0000 0.5000 0.0000  0.04
Sb1 0.5000 0.5000 0.5000  -0.03

Computed properties:
Total moment = 0.246 μB per atom
Crystal system = tetragonal
Energy relative to the elements, uncorrected = -0.0797 eV per atom
Mass density = 6.05 g cm⁻³
Space-group type = P4/mmm, No. 123
DOS at the Fermi energy = 6.87 states/eV per cell

=====

Below is La2TlCoSb after structural relaxation, with properties calculated at the PBE level.

Lattice parameters (Å, degrees): 5.2846 5.2846 4.9799 90.00 90.00 90.00
Fractional coordinates of all 5 atoms:
Co1 0.0000 0.0000 0.0000
Sb1 0.5000 0.5000 0.5000
La1 0.5000 0.0000 0.0000
La2 0.0000 0.5000 0.0000
Tl1 0.0000 0.0000 0.5000

Computed properties:
Total moment = 0.000 μB per atom
Crystal system = tetragonal
Energy relative to the elements, uncorrected = -0.5588 eV per atom
Mass density = 7.91 g cm⁻³
Space-group type = P4/mmm, No. 123
DOS at the Fermi energy = 2.61 states/eV per cell

=====

Below is La2YCoSb after structural relaxation, with properties calculated at the PBE level.

Lattice parameters (Å, degrees): 5.1145 5.1145 5.4593 90.00 90.00 90.00
Fractional coordinates of all 5 atoms:
La1 0.5000 0.0000 0.0000
La2 0.0000 0.5000 0.0000
Sb1 0.5000 0.5000 0.5000
Co1 0.0000 0.0000 0.0000
Y1 0.0000 0.0000 0.5000

Computed properties:
Total moment = 0.000 μB per atom
Crystal system = tetragonal
Energy relative to the elements, uncorrected = -0.5216 eV per atom
Mass density = 6.37 g cm⁻³
Space-group type = P4/mmm, No. 123
DOS at the Fermi energy = 3.60 states/eV per cell